# BaAlIr2 | the Alexandria database | GGA-PBE | optimized geometry
data_BaAlIr2
_chemical_formula_sum 'Ba1 Al1 Ir2'
_cell_length_a 3.013
_cell_length_b 4.375
_cell_length_c 6.745
_cell_angle_alpha 90.00
_cell_angle_beta 97.95
_cell_angle_gamma 90.00
_symmetry_space_group_name_H-M 'P 1 m 1'
_symmetry_Int_Tables_number 6
loop_
_symmetry_equiv_pos_as_xyz
'x,y,z'
'x,-y,z'
loop_
_atom_site_label
_atom_site_type_symbol
_atom_site_fract_x
_atom_site_fract_y
_atom_site_fract_z
Ba1 Ba 0.000 0.000 0.000
Al1 Al 0.397 0.500 0.663
Ir1 Ir 0.359 0.000 0.448
Ir2 Ir 0.809 0.500 0.366
# Energy above the most stable polymorph in this dataset = 393 meV/atom
# Theoretical density = 10.35 g/cm3
# Formation energy = 0.01 eV per atom

# Cs3NaZn | the Alexandria database | GGA-PBE | optimized geometry
data_Cs3NaZn
_chemical_formula_sum 'Cs3 Na1 Zn1'
_cell_length_a 7.330
_cell_length_b 7.330
_cell_length_c 7.330
_cell_angle_alpha 90.00
_cell_angle_beta 90.00
_cell_angle_gamma 90.00
_symmetry_space_group_name_H-M 'P m -3 m'
_symmetry_Int_Tables_number 221
_symmetry_space_group_name_Hall '-P 4 2 3'
loop_
_atom_site_label
_atom_site_type_symbol
_atom_site_fract_x
_atom_site_fract_y
_atom_site_fract_z
Cs1 Cs 0.000 0.000 0.500
Na1 Na 0.500 0.500 0.500
Zn1 Zn 0.000 0.000 0.000
# Energy above the most stable polymorph in this dataset = 0 meV/atom
# Theoretical density = 2.05 g/cm3
# Formation energy = 0.14 eV per atom

# BaSrSmNbO6 | the Alexandria database | GGA-PBE | optimized geometry
data_BaSrSmNbO6
_chemical_formula_sum 'Ba4 Sr4 Sm4 Nb4 O24'
_cell_length_a 8.609
_cell_length_b 8.609
_cell_length_c 8.609
_cell_angle_alpha 90.00
_cell_angle_beta 90.00
_cell_angle_gamma 90.00
_symmetry_space_group_name_H-M 'F -4 3 m'
_symmetry_Int_Tables_number 216
_symmetry_space_group_name_Hall 'F -4 2 3'
loop_
_atom_site_label
_atom_site_type_symbol
_atom_site_fract_x
_atom_site_fract_y
_atom_site_fract_z
Ba1 Ba 0.000 0.000 0.000
Sr1 Sr 0.000 0.000 0.500
Sm1 Sm 0.250 0.250 0.750
Nb1 Nb 0.250 0.250 0.250
O1 O 0.016 0.250 0.250
# ΔE_f (raw) = -2.94 eV/atom
# Theoretical density = 5.87 g/cm3

# TaHgSe | the Alexandria database | GGA-PBE | optimized geometry
data_TaHgSe
_chemical_formula_sum 'Ta2 Hg2 Se2'
_cell_length_a 3.213
_cell_length_b 3.213
_cell_length_c 12.448
_cell_angle_alpha 90.00
_cell_angle_beta 90.00
_cell_angle_gamma 90.00
_symmetry_space_group_name_H-M 'I 4 m m'
_symmetry_Int_Tables_number 107
_symmetry_space_group_name_Hall 'I 4 -2'
loop_
_atom_site_label
_atom_site_type_symbol
_atom_site_fract_x
_atom_site_fract_y
_atom_site_fract_z
Ta1 Ta 0.000 0.000 0.000
Hg1 Hg 0.000 0.000 0.659
Se1 Se 0.000 0.000 0.388
# ΔE_f (raw) = -0.05 eV/atom
# Energy above the most stable polymorph in this dataset = 84 meV/atom
# Theoretical density = 11.90 g/cm3

# La4Si2F5 | the Alexandria database | GGA-PBE | optimized geometry
data_La4Si2F5
_chemical_formula_sum 'La8 Si4 F10'
_cell_length_a 18.471
_cell_length_b 4.091
_cell_length_c 7.131
_cell_angle_alpha 90.00
_cell_angle_beta 108.17
_cell_angle_gamma 90.00
_symmetry_space_group_name_H-M 'C 1 2/m 1'
_symmetry_Int_Tables_number 12
loop_
_symmetry_equiv_pos_as_xyz
'x,y,z'
'-x,-y,-z'
'-x,y,-z'
'x,-y,z'
'x+1/2,y+1/2,z'
'-x+1/2,-y+1/2,-z'
'-x+1/2,y+1/2,-z'
'x+1/2,-y+1/2,z'
loop_
_atom_site_label
_atom_site_type_symbol
_atom_site_fract_x
_atom_site_fract_y
_atom_site_fract_z
La1 La 0.029 0.000 0.279
La2 La 0.219 0.500 0.221
Si1 Si 0.063 0.500 0.010
F1 F 0.000 0.500 0.500
F2 F 0.192 0.000 0.428
F3 F 0.232 0.500 0.869
# ΔE_f (raw) = -2.52 eV/atom
# Theoretical density = 4.58 g/cm3

# Tl3Fe | the Alexandria database | GGA-PBE | optimized geometry
data_Tl3Fe
_chemical_formula_sum 'Tl6 Fe2'
_cell_length_a 3.370
_cell_length_b 9.409
_cell_length_c 6.319
_cell_angle_alpha 90.00
_cell_angle_beta 90.00
_cell_angle_gamma 90.00
_symmetry_space_group_name_H-M 'I m m 2'
_symmetry_Int_Tables_number 44
loop_
_symmetry_equiv_pos_as_xyz
'x,y,z'
'-x,-y,z'
'-x,y,z'
'x,-y,z'
'x+1/2,y+1/2,z+1/2'
'-x+1/2,-y+1/2,z+1/2'
'-x+1/2,y+1/2,z+1/2'
'x+1/2,-y+1/2,z+1/2'
loop_
_atom_site_label
_atom_site_type_symbol
_atom_site_fract_x
_atom_site_fract_y
_atom_site_fract_z
Tl1 Tl 0.000 0.000 0.000
Tl2 Tl 0.000 0.196 0.576
Fe1 Fe 0.000 0.500 0.852
# Theoretical density = 11.09 g/cm3
# Formation energy = 0.46 eV per atom

Q: The lowest theoretical density belongs to which entry?
A: Cs3NaZn

Q: What is the theoretical density in the third record?
A: 5.87 g/cm3

Q: The lowest theoretical density belongs to which entry?
A: Cs3NaZn

Please write out number 1 again, unchanged.
# BaAlIr2 | the Alexandria database | GGA-PBE | optimized geometry
data_BaAlIr2
_chemical_formula_sum 'Ba1 Al1 Ir2'
_cell_length_a 3.013
_cell_length_b 4.375
_cell_length_c 6.745
_cell_angle_alpha 90.00
_cell_angle_beta 97.95
_cell_angle_gamma 90.00
_symmetry_space_group_name_H-M 'P 1 m 1'
_symmetry_Int_Tables_number 6
loop_
_symmetry_equiv_pos_as_xyz
'x,y,z'
'x,-y,z'
loop_
_atom_site_label
_atom_site_type_symbol
_atom_site_fract_x
_atom_site_fract_y
_atom_site_fract_z
Ba1 Ba 0.000 0.000 0.000
Al1 Al 0.397 0.500 0.663
Ir1 Ir 0.359 0.000 0.448
Ir2 Ir 0.809 0.500 0.366
# Energy above the most stable polymorph in this dataset = 393 meV/atom
# Theoretical density = 10.35 g/cm3
# Formation energy = 0.01 eV per atom